No. 1
PrSb2Pd5Pb | PBE | relaxed

Geometry as POSCAR:
```
PrSb2Pd5Pb
1.0
-3.7506 2.0133 1.7871
-2.2331 -4.0385 -0.1370
2.8577 -1.8544 8.0867
Pd Pr Pb Sb
5 1 1 2
Cartesian
-1.5630 -1.9398 4.8684 Pd
-1.0106 0.4455 3.3405 Pd
0.8765 -3.3125 5.5714 Pd
0.1177 -0.2867 6.5334 Pd
-0.2519 -2.5804 2.3784 Pd
0.0000 0.0000 0.0000 Pr
1.4289 -0.9272 4.0434 Pb
-0.6013 -2.5639 7.5899 Sb
-2.5247 -1.3157 2.1470 Sb
```

Summary:
Final energy = -5.29 eV/atom
Space group = P4/mmm, No. 123

***

No. 2
PrSb2Pd7Pb2 | PBE | relaxed

Geometry as POSCAR:
```
PrSb2Pd7Pb2
1.0
0.0047 2.8387 -3.0096
-2.5269 -2.3743 -2.2568
-12.7586 6.9267 5.0604
Pd Pb Sb Pr
7 2 2 1
Cartesian
-1.2611 0.2322 -2.6332 Pd
-11.0269 7.3697 2.6286 Pd
-8.8981 4.2747 -0.3218 Pd
-2.9901 2.6236 -3.2104 Pd
-4.2539 0.0214 -2.8347 Pd
-6.3827 3.1163 0.1157 Pd
-12.2907 4.7675 3.0043 Pd
-7.3580 3.1999 -2.5855 Pb
-7.9228 4.1912 2.3794 Pb
-10.9831 5.4500 0.8050 Sb
-4.2977 1.9411 -1.0111 Sb
0.0000 0.0000 0.0000 Pr
```

Summary:
Final energy = -5.15 eV/atom
Space group = C2/m, No. 12

***

No. 3
Pr2Sb3Pd4Pb | PBE | relaxed

Geometry as POSCAR:
```
Pr2Sb3Pd4Pb
1.0
-1.7551 2.6131 3.2924
-2.8960 -3.3377 1.1053
7.5150 -4.1129 7.2705
Pr Pd Sb Pb
2 4 3 1
Cartesian
0.8650 0.3529 3.3321 Pr
4.3244 -4.8281 6.1372 Pr
-2.3256 -0.3623 2.1989 Pd
3.9495 -1.3352 6.3162 Pd
0.0000 0.0000 0.0000 Pd
1.2399 -3.1400 3.1531 Pd
3.7575 -2.0565 3.6352 Sb
5.6730 -2.2785 7.9836 Sb
-0.4836 -2.1967 1.4857 Sb
1.4319 -2.4188 5.8341 Pb
```

Summary:
Final energy = -5.41 eV/atom
Space group = P-4m2, No. 115